# CsAuOF2

A relaxed structure of CsAuOF2 (PBE, Alexandria).

Unit cell a=5.155 b=5.155 c=4.333 alpha=90.00 beta=90.00 gamma=90.00
Positions (direct):
Cs  0.000  0.000  0.000
Au  0.500  0.500  0.500
O  0.000  0.000  0.500
F  0.000  0.500  0.000
F  0.500  0.000  0.000

The value obtained for the relative energy among the computed polymorphs is 1136 meV/atom. The formation energy from raw total energies is -0.3 eV per formula unit. The value obtained for the volume is 115 Å³/cell. The total energy comes out at -0.097 Ha/atom.